DFT (PBE) results for a relaxed Pm3Cd2Sn3 crystal.

Unit cell a=4.6119 b=4.6226 c=10.6792 alpha=102.50 beta=102.47 gamma=90.00
Sites, in units of the cell vectors:
Pm1 0.6352 0.6352 0.2704
Pm2 0.3648 0.3648 0.7296
Pm3 0.5000 0.0000 0.0000
Sn1 0.1264 0.1264 0.2529
Sn2 0.0000 0.5000 0.0000
Sn3 0.8736 0.8736 0.7471
Cd1 0.7533 0.2533 0.5066
Cd2 0.2467 0.7467 0.4934

Values from the calculation:
- Space-group type: Immm, No. 71


DFT (PBE) results for a relaxed Np4Tc7P6 crystal.

Unit cell a=7.0506 b=7.0506 c=7.0506 alpha=109.47 beta=109.47 gamma=109.47
Sites, in units of the cell vectors:
Np1 0.5000 0.0000 0.0000
Np2 0.0000 0.0000 0.5000
Np3 0.0000 0.5000 0.0000
Np4 0.5000 0.5000 0.5000
Tc1 0.5000 0.7500 0.2500
Tc2 0.7500 0.2500 0.5000
Tc3 0.0000 0.0000 0.0000
Tc4 0.5000 0.2500 0.7500
Tc5 0.7500 0.5000 0.2500
Tc6 0.2500 0.5000 0.7500
Tc7 0.2500 0.7500 0.5000
P1 0.0000 0.6901 0.6901
P2 0.3099 0.0000 0.3099
P3 0.3099 0.3099 0.0000
P4 0.6901 0.6901 0.0000
P5 0.6901 0.0000 0.6901
P6 0.0000 0.3099 0.3099

Values from the calculation:
- Space-group type: Im-3m, No. 229


DFT (PBE) results for a relaxed SrZnAsBr crystal.

Unit cell a=4.3373 b=4.3373 c=14.7490 alpha=81.54 beta=81.54 gamma=60.00
Sites, in units of the cell vectors:
Zn1 0.6883 0.6883 0.9352
Zn2 0.3117 0.3117 0.0648
As1 0.3715 0.3715 0.8855
As2 0.6285 0.6285 0.1145
Sr1 0.0833 0.0833 0.7502
Sr2 0.9167 0.9167 0.2498
Br1 0.7891 0.7891 0.6327
Br2 0.2109 0.2109 0.3673

Values from the calculation:
- Space-group type: R-3m, No. 166
- E_form (uncorrected): -114.9 kJ/mol of atoms


DFT (PBE) results for a relaxed AcAlP2Rh5 crystal.

Unit cell a=4.1331 b=4.1331 c=9.4990 alpha=90.00 beta=90.00 gamma=90.00
Sites, in units of the cell vectors:
P1 0.5000 0.5000 0.7412
P2 0.5000 0.5000 0.2588
Rh1 0.5000 0.0000 0.8434
Rh2 0.0000 0.5000 0.1566
Rh3 0.5000 0.5000 0.5000
Rh4 0.5000 0.0000 0.1566
Rh5 0.0000 0.5000 0.8434
Ac1 0.0000 0.0000 0.5000
Al1 0.0000 0.0000 0.0000

Values from the calculation:
- Space-group type: P4/mmm, No. 123


Ordered uncorrected energy results: -4.0187, -9.8972, -3.5101, -7.0098; unit eV/atom.